Computed, not measured: crystalline Hf3BiH3 at its relaxed geometry at the PBE level of DFT.

abc: 5.7654 5.7654 5.7654
angles: 90.00 90.00 90.00
With the nearest neighbours (Å) after each atom.
Sites, in units of the cell vectors:
Hf  0.0000  0.2500  0.5000  4 H 2.04
Hf  0.0000  0.7500  0.5000  4 H 2.04
Hf  0.2500  0.5000  0.0000  4 H 2.04
Hf  0.5000  0.0000  0.2500  4 H 2.04
Hf  0.5000  0.0000  0.7500  4 H 2.04
Hf  0.7500  0.5000  0.0000  4 H 2.04
Bi  0.0000  0.0000  0.0000  12 Hf 3.22, 12 H 3.22
Bi  0.5000  0.5000  0.5000  12 Hf 3.22, 12 H 3.22
H  0.0000  0.5000  0.2500  4 Hf 2.04
H  0.0000  0.5000  0.7500  4 Hf 2.04
H  0.2500  0.0000  0.5000  4 Hf 2.04
H  0.5000  0.2500  0.0000  4 Hf 2.04
H  0.5000  0.7500  0.0000  4 Hf 2.04
H  0.7500  0.0000  0.5000  4 Hf 2.04

Computed properties:
- E (eV/atom) = -6.54
- space-group type = Pm-3n (223)